# 1
# Li2Mg4Au5 | Alexandria via LeMat-Bulk | PBE | relaxed
# V (Å³ per atom): 19.8
# Calculated total energy (eV/atom): -2.8347
# E_form (eV per atom): -0.417
# SG: C2/m
# Mass density (Mg/m³): 8.3
data_Li2Mg4Au5
_chemical_formula_sum 'Li2 Mg4 Au5'
_cell_length_a 3.9204
_cell_length_b 7.0716
_cell_length_c 8.1248
_cell_angle_alpha 93.40
_cell_angle_beta 103.96
_cell_angle_gamma 90.00
_space_group_name_H-M_alt 'P 1'
_space_group_IT_number 1
_space_group_name_Hall 'P 1'
loop_
_atom_site_label
_atom_site_type_symbol
_atom_site_fract_x
_atom_site_fract_y
_atom_site_fract_z
Li1 Li 0.4190 0.3710 0.8380
Li2 Li 0.5810 0.6290 0.1620
Mg1 Mg 0.2547 0.1788 0.5093
Mg2 Mg 0.9427 0.7422 0.8853
Mg3 Mg 0.7453 0.8212 0.4907
Mg4 Mg 0.0573 0.2578 0.1147
Au1 Au 0.8152 0.4713 0.6304
Au2 Au 0.1848 0.5287 0.3696
Au3 Au 0.8751 0.1004 0.7501
Au4 Au 0.5000 0.0000 0.0000
Au5 Au 0.1249 0.8996 0.2499


# 2
# NiTeP2S | Alexandria via LeMat-Bulk | PBE | relaxed
# V (Å³ per atom): 18.1
# Calculated total energy (eV/atom): -4.2757
# Distance to the lowest polymorph of the same formula (meV per atom): 0
# Raw formation energy (eV/atom): 0.498
# SG: P4/mmm
# Mass density (Mg/m³): 5.2
data_NiTeP2S
_chemical_formula_sum 'Ni1 Te1 P2 S1'
_cell_length_a 4.5036
_cell_length_b 4.5036
_cell_length_c 4.4556
_cell_angle_alpha 90.00
_cell_angle_beta 90.00
_cell_angle_gamma 90.00
_space_group_name_H-M_alt 'P 1'
_space_group_IT_number 1
_space_group_name_Hall 'P 1'
loop_
_atom_site_label
_atom_site_type_symbol
_atom_site_fract_x
_atom_site_fract_y
_atom_site_fract_z
Ni1 Ni 0.0000 0.0000 0.0000
S1 S 0.0000 0.0000 0.5000
Te1 Te 0.5000 0.5000 0.5000
P1 P 0.0000 0.5000 0.0000
P2 P 0.5000 0.0000 0.0000


# 3
# CaZnNi2H8 | Alexandria via LeMat-Bulk | PBE | relaxed
# V (Å³ per atom): 8.1
# Calculated total energy (eV/atom): -3.4910
# SG: R-3
# Mass density (Mg/m³): 4.0
data_CaZnNi2H8
_chemical_formula_sum 'Ca1 Zn1 Ni2 H8'
_cell_length_a 4.5394
_cell_length_b 4.5394
_cell_length_c 6.0187
_cell_angle_alpha 67.85
_cell_angle_beta 67.85
_cell_angle_gamma 60.00
_space_group_name_H-M_alt 'P 1'
_space_group_IT_number 1
_space_group_name_Hall 'P 1'
loop_
_atom_site_label
_atom_site_type_symbol
_atom_site_fract_x
_atom_site_fract_y
_atom_site_fract_z
Ca1 Ca 0.5000 0.5000 0.5000
Zn1 Zn 0.0000 0.0000 0.0000
Ni1 Ni 0.2952 0.2952 0.1144
Ni2 Ni 0.7048 0.7048 0.8856
H1 H 0.2000 0.2000 0.4000
H2 H 0.6094 0.3151 0.1619
H3 H 0.8000 0.8000 0.6000
H4 H 0.9136 0.6094 0.1619
H5 H 0.0864 0.3906 0.8381
H6 H 0.3151 0.9136 0.1619
H7 H 0.6849 0.0864 0.8381
H8 H 0.3906 0.6849 0.8381


# 4
# Sm2Y2Co | Alexandria via LeMat-Bulk | PBE | relaxed
# V (Å³ per atom): 28.8
# Calculated total energy (eV/atom): -5.9414
# E_form (eV per atom): -0.047
# SG: C2/m
# Mass density (Mg/m³): 6.2
data_Sm2Y2Co
_chemical_formula_sum 'Sm4 Y4 Co2'
_cell_length_a 6.9818
_cell_length_b 6.9818
_cell_length_c 8.0171
_cell_angle_alpha 108.31
_cell_angle_beta 108.31
_cell_angle_gamma 114.76
_space_group_name_H-M_alt 'P 1'
_space_group_IT_number 1
_space_group_name_Hall 'P 1'
loop_
_atom_site_label
_atom_site_type_symbol
_atom_site_fract_x
_atom_site_fract_y
_atom_site_fract_z
Sm1 Sm 0.0124 0.5545 0.2447
Sm2 Sm 0.9876 0.4455 0.7553
Sm3 Sm 0.5545 0.0124 0.2447
Sm4 Sm 0.4455 0.9876 0.7553
Y1 Y 0.8447 0.8447 0.6142
Y2 Y 0.6423 0.6423 0.8973
Y3 Y 0.3577 0.3577 0.1027
Y4 Y 0.1553 0.1553 0.3858
Co1 Co 0.8831 0.1169 0.0000
Co2 Co 0.1169 0.8831 0.0000


# 5
# KTl8 | Alexandria via LeMat-Bulk | PBE | relaxed
# V (Å³ per atom): 31.4
# Calculated total energy (eV/atom): -2.2475
# E_form (eV per atom): -0.022
# SG: I4/mmm
# Mass density (Mg/m³): 9.8
data_KTl8
_chemical_formula_sum 'K1 Tl8'
_cell_length_a 8.0501
_cell_length_b 8.0501
_cell_length_c 8.0501
_cell_angle_alpha 95.06
_cell_angle_beta 95.06
_cell_angle_gamma 145.44
_space_group_name_H-M_alt 'P 1'
_space_group_IT_number 1
_space_group_name_Hall 'P 1'
loop_
_atom_site_label
_atom_site_type_symbol
_atom_site_fract_x
_atom_site_fract_y
_atom_site_fract_z
K1 K 0.0000 0.0000 0.0000
Tl1 Tl 0.3265 0.6735 0.0000
Tl2 Tl 0.6735 0.3265 0.0000
Tl3 Tl 0.0000 0.3397 0.3397
Tl4 Tl 0.6735 0.6735 0.3470
Tl5 Tl 0.3397 0.0000 0.3397
Tl6 Tl 0.3265 0.3265 0.6530
Tl7 Tl 0.0000 0.6603 0.6603
Tl8 Tl 0.6603 0.0000 0.6603


# 6
# SmVB14 | Alexandria via LeMat-Bulk | PBE | relaxed
# V (Å³ per atom): 8.1
# Calculated total energy (eV/atom): -6.9101
# E_form (eV per atom): -0.203
# SG: Imma
# Mass density (Mg/m³): 4.5
data_SmVB14
_chemical_formula_sum 'Sm2 V2 B28'
_cell_length_a 5.8382
_cell_length_b 7.3869
_cell_length_c 7.3869
_cell_angle_alpha 67.69
_cell_angle_beta 66.72
_cell_angle_gamma 66.72
_space_group_name_H-M_alt 'P 1'
_space_group_IT_number 1
_space_group_name_Hall 'P 1'
loop_
_atom_site_label
_atom_site_type_symbol
_atom_site_fract_x
_atom_site_fract_y
_atom_site_fract_z
Sm1 Sm 0.2500 0.3819 0.1181
Sm2 Sm 0.7500 0.6181 0.8819
V1 V 0.5000 0.0000 0.5000
V2 V 0.0000 0.0000 0.5000
B1 B 0.6675 0.3620 0.3030
B2 B 0.3325 0.6380 0.6970
B3 B 0.1675 0.8030 0.8620
B4 B 0.8325 0.1970 0.1380
B5 B 0.1274 0.2412 0.5041
B6 B 0.8726 0.7588 0.4959
B7 B 0.6274 0.0041 0.7412
B8 B 0.3726 0.9959 0.2588
B9 B 0.0842 0.0845 0.7471
B10 B 0.9158 0.9155 0.2529
B11 B 0.5842 0.2471 0.5845
B12 B 0.4158 0.7529 0.4155
B13 B 0.7229 0.5990 0.2764
B14 B 0.5982 0.4010 0.7236
B15 B 0.2229 0.7764 0.0990
B16 B 0.0982 0.2236 0.9010
B17 B 0.2771 0.4010 0.7236
B18 B 0.4018 0.5990 0.2764
B19 B 0.7771 0.2236 0.9010
B20 B 0.9018 0.7764 0.0990
B21 B 0.3267 0.9708 0.8726
B22 B 0.1701 0.0292 0.1274
B23 B 0.8267 0.3726 0.4708
B24 B 0.6701 0.6274 0.5292
B25 B 0.6733 0.0292 0.1274
B26 B 0.8299 0.9708 0.8726
B27 B 0.1733 0.6274 0.5292
B28 B 0.3299 0.3726 0.4708


# 7
# Dy2Ho2Tl3 | Alexandria via LeMat-Bulk | PBE | relaxed
# V (Å³ per atom): 28.4
# Calculated total energy (eV/atom): -3.8441
# E_form (eV per atom): -0.207
# Distance to the lowest polymorph of the same formula (meV per atom): 0
# SG: Cmmm
# Mass density (Mg/m³): 10.6
data_Dy2Ho2Tl3
_chemical_formula_sum 'Dy2 Ho2 Tl3'
_cell_length_a 3.5070
_cell_length_b 3.5489
_cell_length_c 16.0582
_cell_angle_alpha 90.00
_cell_angle_beta 83.73
_cell_angle_gamma 90.00
_space_group_name_H-M_alt 'P 1'
_space_group_IT_number 1
_space_group_name_Hall 'P 1'
loop_
_atom_site_label
_atom_site_type_symbol
_atom_site_fract_x
_atom_site_fract_y
_atom_site_fract_z
Dy1 Dy 0.5681 0.5000 0.8639
Dy2 Dy 0.4319 0.5000 0.1361
Ho1 Ho 0.7019 0.5000 0.5963
Ho2 Ho 0.2981 0.5000 0.4037
Tl1 Tl 0.8638 0.0000 0.2723
Tl2 Tl 0.0000 0.0000 0.0000
Tl3 Tl 0.1362 0.0000 0.7277


# 8
# Pr8Dy2Tm | Alexandria via LeMat-Bulk | PBE | relaxed
# V (Å³ per atom): 35.2
# Calculated total energy (eV/atom): -4.5535
# E_form (eV per atom): 0.166
# Distance to the lowest polymorph of the same formula (meV per atom): 0
# SG: C2/m
# Mass density (Mg/m³): 7.0
data_Pr8Dy2Tm
_chemical_formula_sum 'Pr8 Dy2 Tm1'
_cell_length_a 6.7651
_cell_length_b 10.3926
_cell_length_c 10.3926
_cell_angle_alpha 38.67
_cell_angle_beta 60.00
_cell_angle_gamma 60.00
_space_group_name_H-M_alt 'P 1'
_space_group_IT_number 1
_space_group_name_Hall 'P 1'
loop_
_atom_site_label
_atom_site_type_symbol
_atom_site_fract_x
_atom_site_fract_y
_atom_site_fract_z
Pr1 Pr 0.2318 0.3469 0.8239
Pr2 Pr 0.7682 0.1761 0.6531
Pr3 Pr 0.1661 0.7555 0.7555
Pr4 Pr 0.8339 0.2445 0.2445
Pr5 Pr 0.2318 0.8239 0.3469
Pr6 Pr 0.7682 0.6531 0.1761
Pr7 Pr 0.7261 0.5962 0.5962
Pr8 Pr 0.2739 0.4038 0.4038
Dy1 Dy 0.5769 0.8071 0.8071
Dy2 Dy 0.4231 0.1929 0.1929
Tm1 Tm 0.0000 0.0000 0.0000


# 9
# TlSnHgBr3 | Alexandria via LeMat-Bulk | PBE | relaxed
# V (Å³ per atom): 37.3
# Calculated total energy (eV/atom): -2.5870
# Raw formation energy (eV/atom): -0.639
# SG: C2/m
# Mass density (Mg/m³): 5.7
data_TlSnHgBr3
_chemical_formula_sum 'Tl2 Sn2 Hg2 Br6'
_cell_length_a 5.8418
_cell_length_b 7.0162
_cell_length_c 12.1166
_cell_angle_alpha 96.57
_cell_angle_beta 90.00
_cell_angle_gamma 114.60
_space_group_name_H-M_alt 'P 1'
_space_group_IT_number 1
_space_group_name_Hall 'P 1'
loop_
_atom_site_label
_atom_site_type_symbol
_atom_site_fract_x
_atom_site_fract_y
_atom_site_fract_z
Tl1 Tl 0.6377 0.2753 0.5914
Tl2 Tl 0.3623 0.7247 0.4086
Sn1 Sn 0.9917 0.9834 0.1848
Sn2 Sn 0.0083 0.0166 0.8152
Hg1 Hg 0.2053 0.4106 0.0360
Hg2 Hg 0.7947 0.5894 0.9640
Br1 Br 0.8071 0.6142 0.2796
Br2 Br 0.8916 0.7831 0.6087
Br3 Br 0.4728 0.9455 0.1781
Br4 Br 0.1084 0.2169 0.3913
Br5 Br 0.5272 0.0545 0.8219
Br6 Br 0.1929 0.3858 0.7204


# 10
# SbSN2F | Alexandria via LeMat-Bulk | PBE | relaxed
# V (Å³ per atom): 13.5
# Calculated total energy (eV/atom): -3.4672
# Distance to the lowest polymorph of the same formula (meV per atom): 962
# Raw formation energy (eV/atom): 1.887
# SG: P4/mmm
# Mass density (Mg/m³): 4.9
data_SbSN2F
_chemical_formula_sum 'Sb1 S1 N2 F1'
_cell_length_a 4.1435
_cell_length_b 4.1435
_cell_length_c 3.9312
_cell_angle_alpha 90.00
_cell_angle_beta 90.00
_cell_angle_gamma 90.00
_space_group_name_H-M_alt 'P 1'
_space_group_IT_number 1
_space_group_name_Hall 'P 1'
loop_
_atom_site_label
_atom_site_type_symbol
_atom_site_fract_x
_atom_site_fract_y
_atom_site_fract_z
Sb1 Sb 0.5000 0.5000 0.5000
S1 S 0.0000 0.0000 0.5000
N1 N 0.0000 0.5000 0.0000
N2 N 0.5000 0.0000 0.0000
F1 F 0.0000 0.0000 0.0000


# 11
# CdFe2Re | Alexandria via LeMat-Bulk | PBE | relaxed
# V (Å³ per atom): 14.6
# Calculated total energy (eV/atom): -7.2786
# E_form (eV per atom): 0.294
# SG: P4mm
# Mass density (Mg/m³): 11.7
data_CdFe2Re
_chemical_formula_sum 'Cd1 Fe2 Re1'
_cell_length_a 2.8206
_cell_length_b 2.8208
_cell_length_c 7.3346
_cell_angle_alpha 90.00
_cell_angle_beta 90.00
_cell_angle_gamma 90.00
_space_group_name_H-M_alt 'P 1'
_space_group_IT_number 1
_space_group_name_Hall 'P 1'
loop_
_atom_site_label
_atom_site_type_symbol
_atom_site_fract_x
_atom_site_fract_y
_atom_site_fract_z
Cd1 Cd 0.5000 0.5000 0.7602
Fe1 Fe 0.0000 0.0000 0.0428
Fe2 Fe 0.5000 0.5000 0.2432
Re1 Re 0.0000 0.0000 0.4538


# 12
# MgSnHSe | Alexandria via LeMat-Bulk | PBE | relaxed
# V (Å³ per atom): 19.9
# Calculated total energy (eV/atom): -3.3228
# Distance to the lowest polymorph of the same formula (meV per atom): 101
# SG: Amm2
# Mass density (Mg/m³): 4.7
data_MgSnHSe
_chemical_formula_sum 'Mg2 Sn2 H2 Se2'
_cell_length_a 4.0726
_cell_length_b 4.7243
_cell_length_c 8.2632
_cell_angle_alpha 90.00
_cell_angle_beta 90.00
_cell_angle_gamma 90.00
_space_group_name_H-M_alt 'P 1'
_space_group_IT_number 1
_space_group_name_Hall 'P 1'
loop_
_atom_site_label
_atom_site_type_symbol
_atom_site_fract_x
_atom_site_fract_y
_atom_site_fract_z
Mg1 Mg 0.5000 0.0000 0.5579
Mg2 Mg 0.5000 0.5000 0.0579
Sn1 Sn 0.0000 0.0000 0.2695
Sn2 Sn 0.0000 0.5000 0.7695
H1 H 0.0000 0.0000 0.5117
H2 H 0.0000 0.5000 0.0117
Se1 Se 0.5000 0.0000 0.8743
Se2 Se 0.5000 0.5000 0.3743


Which formula does entry 8 have? Pr8Dy2Tm